# 1
Below is DyThTi4 after structural relaxation, with properties calculated at the PBE-GGA level.

Summary:
The value obtained for the total energy is -7.0478 eV/atom. Its total moment is 3.96 μB per cell. As for the density: 7.371 g/cm³. For the formation energy, the calculation gives 0.22 eV/atom.

Unit cell a=5.7155 b=5.7155 c=5.7155 alpha=60.00 beta=60.00 gamma=60.00
Last column: nearest neighbours and their distance in Å.
Sites, in units of the cell vectors:
Dy: 0.0000 0.0000 0.0000  12 Ti 3.35, 4 Th 3.50
Ti: 0.6241 0.6241 0.6241  6 Ti 2.84-2.88
Ti: 0.1277 0.6241 0.6241  6 Ti 2.84-2.88
Ti: 0.6241 0.1277 0.6241  6 Ti 2.84-2.88
Ti: 0.6241 0.6241 0.1277  6 Ti 2.84-2.88
Th: 0.2500 0.2500 0.2500  12 Ti 3.35, 4 Dy 3.50

---

# 2
Below is Dy2ThTl after structural relaxation, with properties calculated at the PBE-GGA level.

Summary:
For the energy relative to the lowest polymorph listed for this composition, the calculation gives 0.069 eV/atom. The value obtained for the total energy is -4.8673 eV/atom. Its total moment is 0.00 μB per cell. As for the density: 10.848 g/cm³. For the formation energy, the calculation gives -0.12 eV/atom.

Unit cell a=4.7800 b=4.9380 c=4.9380 alpha=90.00 beta=90.00 gamma=90.00
Last column: nearest neighbours and their distance in Å.
Sites, in units of the cell vectors:
Th: 0.5000 0.5000 0.5000  8 Dy 3.44, 4 Tl 3.49
Dy: 0.0000 0.0000 0.5000  4 Tl 3.44, 4 Th 3.44, 4 Dy 3.49
Dy: 0.0000 0.5000 0.0000  4 Tl 3.44, 4 Th 3.44, 4 Dy 3.49
Tl: 0.5000 0.0000 0.0000  8 Dy 3.44, 4 Th 3.49

---

# 3
Below is Dy3ThTl3 after structural relaxation, with properties calculated at the PBE-GGA level.

Summary:
The value obtained for the total energy is -4.1048 eV/atom. Its total moment is 0.00 μB per cell. As for the density: 10.736 g/cm³. For the formation energy, the calculation gives -0.06 eV/atom.

Unit cell a=5.6503 b=9.1788 c=9.1788 alpha=120.00 beta=90.00 gamma=90.00
Last column: nearest neighbours and their distance in Å.
Sites, in units of the cell vectors:
Tl: 0.2500 0.8034 0.7612  4 Dy 3.23-3.36, 1 Th 3.47, 6 Tl 3.48-3.51
Tl: 0.7500 0.7612 0.9578  4 Dy 3.23-3.36, 1 Th 3.47, 6 Tl 3.48-3.51
Tl: 0.2500 0.2388 0.0422  4 Dy 3.23-3.36, 1 Th 3.47, 6 Tl 3.48-3.51
Tl: 0.7500 0.0422 0.8034  4 Dy 3.23-3.36, 1 Th 3.47, 6 Tl 3.48-3.51
Tl: 0.7500 0.1966 0.2388  4 Dy 3.23-3.36, 1 Th 3.47, 6 Tl 3.48-3.51
Tl: 0.2500 0.9578 0.1966  4 Dy 3.23-3.36, 1 Th 3.47, 6 Tl 3.48-3.51
Dy: 0.7500 0.4536 0.0951  4 Tl 3.23-3.36, 3 Th 3.51, 2 Dy 3.60
Dy: 0.2500 0.5464 0.9049  4 Tl 3.23-3.36, 3 Th 3.51, 2 Dy 3.60
Dy: 0.7500 0.9049 0.3585  4 Tl 3.23-3.36, 3 Th 3.51, 2 Dy 3.60
Dy: 0.2500 0.3585 0.4536  4 Tl 3.23-3.36, 3 Th 3.51, 2 Dy 3.60
Dy: 0.2500 0.0951 0.6415  4 Tl 3.23-3.36, 3 Th 3.51, 2 Dy 3.60
Dy: 0.7500 0.6415 0.5464  4 Tl 3.23-3.36, 3 Th 3.51, 2 Dy 3.60
Th: 0.7500 0.3333 0.6667  3 Tl 3.47, 9 Dy 3.51
Th: 0.2500 0.6667 0.3333  3 Tl 3.47, 9 Dy 3.51

---

# 4
Below is Dy2ThTl2 after structural relaxation, with properties calculated at the PBE-GGA level.

Summary:
The value obtained for the total energy is -4.2973 eV/atom. Its total moment is 0.00 μB per cell. As for the density: 10.040 g/cm³. For the formation energy, the calculation gives -0.03 eV/atom.

Unit cell a=5.2892 b=5.2892 c=6.5934 alpha=90.00 beta=90.00 gamma=120.00
Last column: nearest neighbours and their distance in Å.
Sites, in units of the cell vectors:
Th: 0.0000 0.0000 0.0000  6 Tl 3.32
Dy: 0.3333 0.6667 0.6698  5 Tl 3.12-3.47
Dy: 0.6667 0.3333 0.3302  5 Tl 3.12-3.47
Tl: 0.3333 0.6667 0.1969  5 Dy 3.12-3.47, 3 Th 3.32
Tl: 0.6667 0.3333 0.8031  5 Dy 3.12-3.47, 3 Th 3.32